A.
Pr2Dy12Er5: relaxed, PBE.

As for the spin magnetization: 0.0 μB per formula unit.

The space group is C2/m (No. 12) and the conventional cell measures 15.760, 9.206 and 8.512 Å, with angles of 90.00, 90.93 and 90.00 degrees. The distinct sites, in fractional coordinates, are Pr at (0.000, 0.185, 0.000), Dy at (0.058, 0.000, 0.329), Dy at (0.095, 0.500, 0.883), Dy at (0.126, 0.192, 0.651), Dy at (0.158, 0.319, 0.245), Er at (0.000, 0.500, 0.500), Er at (0.197, 0.000, 0.009) and Er at (0.232, 0.500, 0.577).

=====

B.
Pr2Dy12Er5: relaxed, PBE.

As for the spin magnetization: 0.0 μB per formula unit.

The space group is P-1 (No. 2) and the conventional cell measures 6.597, 8.833 and 10.912 Å, with angles of 84.28, 79.16 and 77.80 degrees. The distinct sites, in fractional coordinates, are Pr at (0.159, 0.173, 0.005), Dy at (0.091, 0.254, 0.298), Dy at (0.124, 0.191, 0.702), Dy at (0.233, 0.555, 0.453), Dy at (0.323, 0.485, 0.771), Dy at (0.371, 0.876, 0.220), Dy at (0.386, 0.821, 0.870), Er at (0.000, 0.000, 0.500), Er at (0.242, 0.539, 0.098) and Er at (0.480, 0.815, 0.549).

=====

Of the structures shown above, B is the most stable.